1.
Computed, not measured: crystalline AlTeBr at its relaxed geometry at the PBE level of DFT.

Cell and atoms, written as POSCAR:
```
AlTeBr
1.0
3.9627 0.0000 0.0000
0.1832 4.1126 0.0000
0.2353 0.2266 6.8416
Al Te Br
1 1 1
direct
0.0000 0.0000 0.0000
0.0148 0.5121 0.7792
0.4870 0.9870 0.2325
```

Output
Energy relative to the elements, uncorrected ... -0.58 eV/atom
Calculated total energy ... -3.43 eV per atom
Calculated density ... 3.49 g/cm³



2.
Computed, not measured: crystalline AlTeBr at its relaxed geometry at the PBE level of DFT.

Cell and atoms, written as POSCAR:
```
AlTeBr
1.0
4.0978 0.0000 0.0000
0.0000 7.9807 0.0000
0.0000 0.0000 6.8872
Al Te Br
2 2 2
direct
0.0000 0.0812 0.0000
0.5000 0.9188 0.5000
0.0000 0.1138 0.6102
0.5000 0.8862 0.1102
0.0000 0.3506 0.1097
0.5000 0.6494 0.6097
```

Output
Energy relative to the elements, uncorrected ... -0.75 eV/atom
Calculated total energy ... -3.60 eV per atom
Calculated density ... 3.46 g/cm³



3.
Computed, not measured: crystalline AlTeBr2 at its relaxed geometry at the PBE level of DFT.

Cell and atoms, written as POSCAR:
```
AlTeBr2
1.0
-1.8725 2.9981 6.8629
1.8725 -2.9981 6.8629
1.8725 2.9981 -6.8629
Al Te Br
1 1 2
direct
0.0000 0.0000 0.0000
0.8675 0.3675 0.5000
0.1319 0.6319 0.5000
0.4070 0.4070 0.0000
```

Output
Energy relative to the elements, uncorrected ... -0.31 eV/atom
Calculated total energy ... -2.86 eV per atom
Offset from the most stable computed form ... 287 meV per atom
Calculated density ... 3.39 g/cm³



4.
Computed, not measured: crystalline AlTeBr2 at its relaxed geometry at the PBE level of DFT.

Cell and atoms, written as POSCAR:
```
AlTeBr2
1.0
3.5690 0.0000 0.0000
0.0000 3.5690 0.0000
0.0000 0.0000 8.8146
Al Te Br
1 1 2
direct
0.0000 0.0000 0.0000
0.5000 0.5000 0.8087
0.0000 0.0000 0.5885
0.5000 0.5000 0.1870
```

Output
Energy relative to the elements, uncorrected ... -0.02 eV/atom
Calculated total energy ... -2.58 eV per atom
Offset from the most stable computed form ... 575 meV per atom
Calculated density ... 4.65 g/cm³



5.
Computed, not measured: crystalline AlTeBr2 at its relaxed geometry at the PBE level of DFT.

Cell and atoms, written as POSCAR:
```
AlTeBr2
1.0
3.5991 0.0000 0.0000
0.0000 4.7408 0.0000
0.0000 0.0000 6.4718
Al Te Br
1 1 2
direct
0.0000 0.0000 0.0000
0.5000 0.0000 0.5000
0.0000 0.5000 0.5000
0.5000 0.5000 0.0000
```

Output
Energy relative to the elements, uncorrected ... 0.04 eV/atom
Calculated total energy ... -2.52 eV per atom
Offset from the most stable computed form ... 635 meV per atom
Calculated density ... 4.73 g/cm³



6.
Computed, not measured: crystalline AlTeBr2 at its relaxed geometry at the PBE level of DFT.

Cell and atoms, written as POSCAR:
```
AlTeBr2
1.0
1.9657 -4.2704 0.0000
1.9657 4.2704 0.0000
0.0000 0.0000 8.8111
Al Te Br
1 1 2
direct
0.0000 0.0000 0.0000
0.5000 0.5000 0.7999
0.0000 0.0000 0.5491
0.5000 0.5000 0.2011
```

Output
Energy relative to the elements, uncorrected ... -0.14 eV/atom
Calculated total energy ... -2.70 eV per atom
Offset from the most stable computed form ... 450 meV per atom
Calculated density ... 3.53 g/cm³



7.
Computed, not measured: crystalline ThAlBr at its relaxed geometry at the PBE level of DFT.

Cell and atoms, written as POSCAR:
```
ThAlBr
1.0
3.6955 -2.1337 0.0000
3.6955 2.1337 0.0000
-2.4945 0.0000 11.8054
Th Al Br
2 2 2
direct
0.0586 0.0586 0.1735
0.9414 0.9414 0.8265
0.3351 0.3351 0.0053
0.6649 0.6649 0.9947
0.2199 0.2199 0.6640
0.7801 0.7801 0.3360
```

Output
Energy relative to the elements, uncorrected ... -0.96 eV/atom
Calculated total energy ... -5.24 eV per atom
Calculated density ... 6.05 g/cm³



8.
Computed, not measured: crystalline ThAlBr at its relaxed geometry at the PBE level of DFT.

Cell and atoms, written as POSCAR:
```
ThAlBr
1.0
2.8342 -2.2633 0.0000
2.8342 2.2633 0.0000
-1.6064 0.0000 13.5552
Th Al Br
2 2 2
direct
0.1848 0.1848 0.2962
0.8152 0.8152 0.7038
0.2692 0.2692 0.5491
0.7308 0.7308 0.4509
0.2685 0.2685 0.8533
0.7315 0.7315 0.1467
```

Output
Energy relative to the elements, uncorrected ... -0.76 eV/atom
Calculated total energy ... -5.03 eV per atom
Calculated density ... 6.47 g/cm³



9.
Computed, not measured: crystalline TiAl2Br at its relaxed geometry at the PBE level of DFT.

Cell and atoms, written as POSCAR:
```
TiAl2Br
1.0
0.0000 3.4428 3.4428
3.4428 0.0000 3.4428
3.4428 3.4428 0.0000
Ti Al Br
1 2 1
direct
0.0000 0.0000 0.0000
0.2500 0.2500 0.2500
0.7500 0.7500 0.7500
0.5000 0.5000 0.5000
```

Output
Energy relative to the elements, uncorrected ... 0.57 eV/atom
Calculated total energy ... -3.69 eV per atom
Offset from the most stable computed form ... 202 meV per atom
Calculated density ... 3.70 g/cm³



10.
Computed, not measured: crystalline TiAl2Br8 at its relaxed geometry at the PBE level of DFT.

Cell and atoms, written as POSCAR:
```
TiAl2Br8
1.0
6.3902 0.0000 0.0000
0.0000 12.8604 0.0000
0.0000 0.0000 10.1560
Ti Al Br
2 4 16
direct
0.0000 0.0000 0.0000
0.5000 0.5000 0.5000
0.1066 0.3139 0.5000
0.3934 0.8139 0.0000
0.6066 0.1861 0.0000
0.8934 0.6861 0.5000
0.1964 0.1429 0.5000
0.2358 0.1770 0.0000
0.2493 0.4068 0.3206
0.2493 0.4068 0.6794
0.2507 0.9068 0.1794
0.2507 0.9068 0.8206
0.2642 0.6770 0.5000
0.3036 0.6429 0.0000
0.6964 0.3571 0.0000
0.7358 0.3230 0.5000
0.7493 0.0932 0.1794
0.7493 0.0932 0.8206
0.7507 0.5932 0.3206
0.7507 0.5932 0.6794
0.7642 0.8230 0.0000
0.8036 0.8571 0.5000
```

Output
Energy relative to the elements, uncorrected ... -1.08 eV/atom
Calculated total energy ... -3.70 eV per atom
Calculated density ... 2.95 g/cm³



11.
Computed, not measured: crystalline TiAl2Br at its relaxed geometry at the PBE level of DFT.

Cell and atoms, written as POSCAR:
```
TiAl2Br
1.0
-3.8972 3.8972 2.7068
3.8972 -3.8972 2.7068
3.8972 3.8972 -2.7068
Ti Al Br
2 4 2
direct
0.0000 0.0000 0.0000
0.7500 0.2500 0.5000
0.1102 0.1250 0.4852
0.3750 0.8898 0.0148
0.6398 0.6250 0.5148
0.8750 0.3602 0.9852
0.2500 0.7500 0.5000
0.5000 0.5000 0.0000
```

Output
Energy relative to the elements, uncorrected ... 0.37 eV/atom
Calculated total energy ... -3.89 eV per atom
Offset from the most stable computed form ... 0 meV per atom
Calculated density ... 3.67 g/cm³



12.
Computed, not measured: crystalline TiAl2Br8 at its relaxed geometry at the PBE level of DFT.

Cell and atoms, written as POSCAR:
```
TiAl2Br8
1.0
9.5952 -4.4471 0.0000
9.5952 4.4471 0.0000
-7.7314 0.0000 9.9222
Ti Al Br
2 4 16
direct
0.0063 0.9937 0.7500
0.9937 0.0063 0.2500
0.1508 0.6824 0.4703
0.3176 0.8492 0.0297
0.6824 0.1508 0.9703
0.8492 0.3176 0.5297
0.1305 0.1587 0.5122
0.1351 0.7015 0.2836
0.1587 0.1305 0.0122
0.1652 0.7130 0.8238
0.2870 0.8348 0.6762
0.2888 0.3954 0.4449
0.2985 0.8649 0.2164
0.3954 0.2888 0.9449
0.6046 0.7112 0.0551
0.7015 0.1351 0.7836
0.7112 0.6046 0.5551
0.7130 0.1652 0.3238
0.8348 0.2870 0.1762
0.8413 0.8695 0.9878
0.8649 0.2985 0.7164
0.8695 0.8413 0.4878
```

Output
Energy relative to the elements, uncorrected ... -1.08 eV/atom
Calculated total energy ... -3.70 eV per atom
Calculated density ... 2.91 g/cm³



13.
Computed, not measured: crystalline TiAl2Br8 at its relaxed geometry at the PBE level of DFT.

Cell and atoms, written as POSCAR:
```
TiAl2Br8
1.0
6.3836 -5.1063 0.0000
6.3836 5.1063 0.0000
-0.6355 0.0000 6.3654
Ti Al Br
1 2 8
direct
0.0000 0.0000 0.0000
0.1883 0.1883 0.6436
0.8117 0.8117 0.3564
0.0835 0.7269 0.2314
0.1787 0.1787 0.2710
0.2731 0.9165 0.7686
0.3623 0.3623 0.7601
0.6377 0.6377 0.2399
0.7269 0.0835 0.2314
0.8213 0.8213 0.7290
0.9165 0.2731 0.7686
```

Output
Energy relative to the elements, uncorrected ... -1.08 eV/atom
Calculated total energy ... -3.70 eV per atom
Calculated density ... 2.97 g/cm³



14.
Computed, not measured: crystalline Al2TlBr at its relaxed geometry at the PBE level of DFT.

Cell and atoms, written as POSCAR:
```
Al2TlBr
1.0
3.2376 0.0000 0.0000
0.0000 4.2766 0.0000
0.0000 0.0000 8.3948
Al Tl Br
2 1 1
direct
0.0000 0.0000 0.0000
0.5000 0.5000 0.0839
0.0000 0.0000 0.6316
0.5000 0.5000 0.3782
```

Output
Energy relative to the elements, uncorrected ... 0.03 eV/atom
Calculated total energy ... -2.85 eV per atom
Offset from the most stable computed form ... 14 meV per atom
Calculated density ... 4.83 g/cm³



15.
Computed, not measured: crystalline Al3Tl6Br14 at its relaxed geometry at the PBE level of DFT.

Cell and atoms, written as POSCAR:
```
Al3Tl6Br14
1.0
12.2593 0.0000 0.0000
-6.1296 10.6168 0.0000
0.0000 0.0000 6.5015
Al Tl Br
3 6 14
direct
0.0000 0.0000 0.0000
0.3333 0.6667 0.1589
0.6667 0.3333 0.6799
0.1156 0.3415 0.7410
0.2259 0.8844 0.7410
0.3381 0.2262 0.2661
0.6585 0.7741 0.7410
0.7738 0.1119 0.2661
0.8881 0.6619 0.2661
0.0704 0.2178 0.2315
0.1291 0.5948 0.0371
0.1473 0.9296 0.2315
0.2151 0.1436 0.7746
0.3333 0.6667 0.5153
0.4052 0.5343 0.0371
0.4657 0.8709 0.0371
0.5326 0.1299 0.5565
0.5973 0.4674 0.5565
0.6667 0.3333 0.0358
0.7822 0.8527 0.2315
0.8564 0.0715 0.7746
0.8701 0.4027 0.5565
0.9285 0.7849 0.7746
```

Output
Energy relative to the elements, uncorrected ... -0.94 eV/atom
Calculated total energy ... -3.07 eV per atom
Calculated density ... 4.76 g/cm³



16.
Computed, not measured: crystalline Al2Tl2Br at its relaxed geometry at the PBE level of DFT.

Cell and atoms, written as POSCAR:
```
Al2Tl2Br
1.0
8.3663 0.0000 0.0000
0.0000 8.3663 0.0000
0.0000 0.0000 3.7438
Al Tl Br
4 4 2
direct
0.1139 0.3861 0.0000
0.3861 0.8861 0.0000
0.6139 0.1139 0.0000
0.8861 0.6139 0.0000
0.1910 0.6910 0.5000
0.3090 0.1910 0.5000
0.6910 0.8090 0.5000
0.8090 0.3090 0.5000
0.0000 0.0000 0.0000
0.5000 0.5000 0.0000
```

Output
Energy relative to the elements, uncorrected ... 0.07 eV/atom
Calculated total energy ... -2.71 eV per atom
Calculated density ... 6.88 g/cm³



17.
Computed, not measured: crystalline Al2TlBr at its relaxed geometry at the PBE level of DFT.

Cell and atoms, written as POSCAR:
```
Al2TlBr
1.0
5.4781 0.0000 0.0000
0.0000 5.4781 0.0000
0.0000 0.0000 3.2682
Al Tl Br
2 1 1
direct
0.0000 0.5000 0.0000
0.5000 0.0000 0.0000
0.0000 0.0000 0.5000
0.5000 0.5000 0.5000
```

Output
Energy relative to the elements, uncorrected ... 0.19 eV/atom
Calculated total energy ... -2.69 eV per atom
Offset from the most stable computed form ... 166 meV per atom
Calculated density ... 5.73 g/cm³



18.
Computed, not measured: crystalline AlTl2Br5 at its relaxed geometry at the PBE level of DFT.

Cell and atoms, written as POSCAR:
```
AlTl2Br5
1.0
-3.8386 3.8386 5.1378
3.8386 -3.8386 5.1378
3.8386 3.8386 -5.1378
Al Tl Br
1 2 5
direct
0.0000 0.0000 0.0000
0.2397 0.7397 0.5000
0.7397 0.2397 0.5000
0.2749 0.2749 0.4466
0.2749 0.8283 0.0000
0.7721 0.7721 0.0000
0.8283 0.2749 0.0000
0.8283 0.8283 0.5534
```

Output
Energy relative to the elements, uncorrected ... -0.97 eV/atom
Calculated total energy ... -3.07 eV per atom
Offset from the most stable computed form ... 49 meV per atom
Calculated density ... 4.58 g/cm³



19.
Computed, not measured: crystalline AlTlBr2 at its relaxed geometry at the PBE level of DFT.

Cell and atoms, written as POSCAR:
```
AlTlBr2
1.0
3.9489 0.0000 0.0000
0.0000 3.9834 0.0000
-0.8632 0.0000 7.8383
Al Tl Br
1 1 2
direct
0.0000 0.0000 0.0000
0.0000 0.0000 0.5000
0.4444 0.5000 0.2395
0.5556 0.5000 0.7605
```

Output
Energy relative to the elements, uncorrected ... -0.43 eV/atom
Calculated total energy ... -2.79 eV per atom
Offset from the most stable computed form ... 139 meV per atom
Calculated density ... 5.27 g/cm³



20.
Computed, not measured: crystalline AlTlBr2 at its relaxed geometry at the PBE level of DFT.

Cell and atoms, written as POSCAR:
```
AlTlBr2
1.0
6.1969 -1.7910 0.0000
6.1969 1.7910 0.0000
-1.6903 0.0000 5.9450
Al Tl Br
1 1 2
direct
0.0000 0.0000 0.0000
0.3138 0.3138 0.6556
0.4775 0.4775 0.3087
0.6592 0.6592 0.9828
```

Output
Energy relative to the elements, uncorrected ... -0.51 eV/atom
Calculated total energy ... -2.87 eV per atom
Offset from the most stable computed form ... 60 meV per atom
Calculated density ... 4.92 g/cm³